1.
Below is crystalline Re2TeH at its relaxed geometry, with properties calculated at the PBE-GGA level.

Values from the calculation:
DFT total energy: -6.57 eV/atom
density of states at the Fermi level: 1.0395 states/eV/atom

a b c (Å): 6.137 6.137 6.137
angles (deg): 90.00 90.00 90.00
Space group Fm-3m (No. 225)
One atom of each set of equivalent atoms:
Re1 0.250 0.250 0.250 (multiplicity 8)
Te1 0.000 0.000 0.000 (multiplicity 4)
H1 0.000 0.000 0.500 (multiplicity 4)

---

2.
Below is crystalline ReTe2H at its relaxed geometry, with properties calculated at the PBE-GGA level.

Values from the calculation:
DFT total energy: -4.82 eV/atom
density of states at the Fermi level: 1.0635 states/eV/atom

a b c (Å): 6.504 6.504 6.504
angles (deg): 90.00 90.00 90.00
Space group Fm-3m (No. 225)
One atom of each set of equivalent atoms:
Re1 0.000 0.000 0.000 (multiplicity 4)
Te1 0.250 0.250 0.250 (multiplicity 8)
H1 0.000 0.000 0.500 (multiplicity 4)

---

3.
Below is crystalline ReTeH at its relaxed geometry, with properties calculated at the PBE-GGA level.

Values from the calculation:
DFT total energy: -5.92 eV/atom
density of states at the Fermi level: 0.4673 states/eV/atom

a b c (Å): 13.895 4.539 12.401
angles (deg): 90.00 121.89 90.00
Space group Cc (No. 9)
One atom of each set of equivalent atoms:
Re1 0.000 0.123 0.000 (multiplicity 4)
Re2 0.121 0.302 0.492 (multiplicity 4)
Re3 0.482 0.158 0.088 (multiplicity 4)
Te1 0.097 0.232 0.848 (multiplicity 4)
Te2 0.184 0.351 0.190 (multiplicity 4)
Te3 0.332 0.108 0.639 (multiplicity 4)
H1 0.386 0.469 0.014 (multiplicity 4)
H2 0.393 0.049 0.451 (multiplicity 4)
H3 0.479 0.322 0.878 (multiplicity 4)

---

4.
Below is crystalline ReTeH2 at its relaxed geometry, with properties calculated at the PBE-GGA level.

Values from the calculation:
DFT total energy: -4.78 eV/atom
density of states at the Fermi level: 0.8423 states/eV/atom

a b c (Å): 3.936 3.936 12.942
angles (deg): 90.00 90.00 90.00
Space group I4_1/amd (No. 141, origin choice 2)
One atom of each set of equivalent atoms:
Re1 0.000 0.250 0.375 (multiplicity 4)
Te1 0.000 0.250 0.875 (multiplicity 4)
H1 0.000 0.000 0.500 (multiplicity 8)

---

5.
Below is crystalline ReTeH3 at its relaxed geometry, with properties calculated at the PBE-GGA level.

Values from the calculation:
DFT total energy: -3.29 eV/atom
density of states at the Fermi level: 1.0627 states/eV/atom

a b c (Å): 3.796 3.796 3.796
angles (deg): 90.00 90.00 90.00
Space group Pm-3m (No. 221)
One atom of each set of equivalent atoms:
Re1 0.000 0.000 0.000 (multiplicity 1)
Te1 0.500 0.500 0.500 (multiplicity 1)
H1 0.000 0.500 0.500 (multiplicity 3)

---

6.
Below is crystalline Th2ReH at its relaxed geometry, with properties calculated at the PBE-GGA level.

Values from the calculation:
DFT total energy: -7.66 eV/atom
density of states at the Fermi level: 0.4688 states/eV/atom

a b c (Å): 4.1904 4.1904 17.3793
angles (deg): 90.00 90.00 120.00
Space group R-3m (No. 166, hexagonal axes)
One atom of each set of equivalent atoms:
Th1 0.0000 0.0000 0.2469 (multiplicity 6)
Re1 0.0000 0.0000 0.0000 (multiplicity 3)
H1 0.0000 0.0000 0.5000 (multiplicity 3)

---

7.
Below is crystalline Ti2ReH2 at its relaxed geometry, with properties calculated at the PBE-GGA level.

Values from the calculation:
DFT total energy: -7.43 eV/atom
density of states at the Fermi level: 0.3517 states/eV/atom

a b c (Å): 3.134 3.134 10.556
angles (deg): 90.00 90.00 90.00
Space group I4/mmm (No. 139)
One atom of each set of equivalent atoms:
Ti1 0.000 0.000 0.144 (multiplicity 4)
Re1 0.000 0.000 0.500 (multiplicity 2)
H1 0.000 0.500 0.250 (multiplicity 4)

---

8.
Below is crystalline TiReH3 at its relaxed geometry, with properties calculated at the PBE-GGA level.

Values from the calculation:
DFT total energy: -5.92 eV/atom
density of states at the Fermi level: 0.9626 states/eV/atom

a b c (Å): 3.474 3.474 3.474
angles (deg): 90.00 90.00 90.00
Space group Pm-3m (No. 221)
One atom of each set of equivalent atoms:
Ti1 0.000 0.000 0.000 (multiplicity 1)
Re1 0.500 0.500 0.500 (multiplicity 1)
H1 0.000 0.500 0.500 (multiplicity 3)

---

9.
Below is crystalline TiReH3 at its relaxed geometry, with properties calculated at the PBE-GGA level.

Values from the calculation:
DFT total energy: -5.66 eV/atom
density of states at the Fermi level: 0.5790 states/eV/atom

a b c (Å): 3.383 3.383 3.383
angles (deg): 90.00 90.00 90.00
Space group Pm-3m (No. 221)
One atom of each set of equivalent atoms:
Ti1 0.000 0.000 0.000 (multiplicity 1)
Re1 0.500 0.500 0.500 (multiplicity 1)
H1 0.000 0.000 0.500 (multiplicity 3)

---

10.
Below is crystalline Ti2ReH2 at its relaxed geometry, with properties calculated at the PBE-GGA level.

Values from the calculation:
DFT total energy: -7.23 eV/atom
density of states at the Fermi level: 0.6360 states/eV/atom

a b c (Å): 3.049 3.049 5.939
angles (deg): 90.00 90.00 90.00
Space group P4/mmm (No. 123)
One atom of each set of equivalent atoms:
Ti1 0.000 0.000 0.238 (multiplicity 2)
Re1 0.500 0.500 0.500 (multiplicity 1)
H1 0.000 0.500 0.000 (multiplicity 2)

---

11.
Below is crystalline TiRe2H at its relaxed geometry, with properties calculated at the PBE-GGA level.

Values from the calculation:
DFT total energy: -8.13 eV/atom
density of states at the Fermi level: 1.3529 states/eV/atom

a b c (Å): 5.951 5.951 5.951
angles (deg): 90.00 90.00 90.00
Space group Fm-3m (No. 225)
One atom of each set of equivalent atoms:
Ti1 0.000 0.000 0.000 (multiplicity 4)
Re1 0.250 0.250 0.250 (multiplicity 8)
H1 0.000 0.000 0.500 (multiplicity 4)

---

12.
Below is crystalline Ti3ReH at its relaxed geometry, with properties calculated at the PBE-GGA level.

Values from the calculation:
DFT total energy: -6.68 eV/atom
density of states at the Fermi level: 1.0032 states/eV/atom

a b c (Å): 4.793 4.793 4.793
angles (deg): 90.00 90.00 90.00
Space group Pm-3m (No. 221)
One atom of each set of equivalent atoms:
Ti1 0.000 0.000 0.500 (multiplicity 3)
Re1 0.000 0.000 0.000 (multiplicity 1)
H1 0.500 0.500 0.500 (multiplicity 1)

---

Among the records above, which one has the highest DFT total energy? ReTeH3